# CeNiP2O8

A geometry-optimized CeNiP2O8 structure (GGA+U, Alexandria via LeMat-Bulk).

The structure belongs to space group P-3m1 (No. 164); the cell edges are 5.1322, 5.1322 and 6.6096 Å and the angles 90.00°, 90.00° and 120.00°. The inequivalent atoms are Ce at (0.0000, 0.0000, 0.0000), Ni at (0.0000, 0.0000, 0.5000), P at (0.3333, 0.6667, 0.2154), O at (0.1679, 0.3357, 0.2871) and O at (0.3333, 0.6667, 0.9822).

The volume is 150.8 Å³/cell. As for the raw total energy: -7.25 eV/atom.